No. 1
This record from Alexandria describes ZnCdGa4 after structural relaxation. The functional is PBE-GGA.

The energy relative to the elements is 0.14 eV/atom. The value obtained for the total magnetization is 0.0 μB/cell. Its energy above the most stable polymorph in this dataset is 0.078 eV/atom.

abc: 5.544 5.544 5.544
angles: 60.00 60.00 60.00
Atoms (fractional coordinates):
Zn 0.000 0.000 0.000
Ga 0.625 0.625 0.124
Ga 0.625 0.124 0.625
Ga 0.625 0.625 0.625
Ga 0.124 0.625 0.625
Cd 0.250 0.250 0.250



No. 2
This record from Alexandria describes Tl2InGa3I6 after structural relaxation. The functional is PBE-GGA.

The value obtained for the total magnetization is 0.0 μB/cell. The calculation puts the raw formation energy at -5.57 eV/f.u.

abc: 4.823 9.720 10.848
angles: 103.50 102.84 90.00
Atoms (fractional coordinates):
Tl 0.834 0.668 0.667
Tl 0.166 0.332 0.333
In 0.500 0.000 0.000
Ga 0.500 0.500 0.000
Ga 0.833 0.167 0.666
Ga 0.167 0.833 0.334
I 0.330 0.929 0.660
I 0.662 0.594 0.324
I 0.670 0.071 0.340
I 0.995 0.258 0.991
I 0.005 0.742 0.009
I 0.338 0.406 0.676